Entry 1:
Here is a geometry-optimized ScB6W2 structure from Alexandria via LeMat-Bulk. Energies are from PBE.

symmetry: P6/mmm
energy relative to the elements: -45 kJ/mol of atoms

a b c (Å): 3.3467 5.3045 5.3045
angles (deg): 120.00 90.00 90.00
With the nearest neighbours (Å) after each atom.
Fractional positions:
1 W 0.0000 0.6667 0.3333  12 B 2.43
2 W 0.0000 0.3333 0.6667  12 B 2.43
3 B 0.5000 0.3347 0.0000  3 B 1.75-1.78
4 B 0.5000 0.6653 0.0000  3 B 1.75-1.78
5 B 0.5000 0.3347 0.3347  3 B 1.75-1.78
6 B 0.5000 0.0000 0.3347  3 B 1.75-1.78
7 Sc 0.0000 0.0000 0.0000  12 B 2.44
8 B 0.5000 0.6653 0.6653  3 B 1.75-1.78
9 B 0.5000 0.0000 0.6653  3 B 1.75-1.78

***

Entry 2:
Here is a geometry-optimized NaMg6BiO8 structure from Alexandria via LeMat-Bulk. Energies are from PBE.

E above lowest polymorph: 0 meV/atom
symmetry: P4/mmm
formation energy without anion corrections: -51.38 kcal/mol of atoms

a b c (Å): 4.4755 4.4755 8.9286
angles (deg): 90.00 90.00 90.00
With the nearest neighbours (Å) after each atom.
Fractional positions:
1 O 0.0000 0.5000 0.0000  2 Bi 2.24, 2 Na 2.24, 2 Mg 2.38
2 Bi 0.5000 0.5000 0.0000  6 O 2.24-2.41
3 Mg 0.5000 0.0000 0.7338  5 O 2.09-2.24
4 Mg 0.5000 0.0000 0.2662  5 O 2.09-2.24
5 O 0.0000 0.0000 0.2697  5 Mg 2.06-2.24
6 O 0.5000 0.0000 0.5000  6 Mg 2.09-2.24
7 Mg 0.0000 0.5000 0.7338  5 O 2.09-2.24
8 Mg 0.0000 0.5000 0.2662  5 O 2.09-2.24
9 Na 0.0000 0.0000 0.0000  6 O 2.24-2.41
10 Mg 0.0000 0.0000 0.5000  6 O 2.06-2.24
11 O 0.5000 0.5000 0.2695  5 Mg 2.06-2.24
12 O 0.0000 0.5000 0.5000  6 Mg 2.09-2.24
13 Mg 0.5000 0.5000 0.5000  6 O 2.06-2.24
14 O 0.5000 0.5000 0.7305  5 Mg 2.06-2.24
15 O 0.5000 0.0000 0.0000  2 Na 2.24, 2 Bi 2.24, 2 Mg 2.38
16 O 0.0000 0.0000 0.7303  5 Mg 2.06-2.24

***

Entry 3:
Here is a geometry-optimized LiTlCo2 structure from Alexandria via LeMat-Bulk. Energies are from PBE.

symmetry: R3m
energy relative to the elements: 25 kJ/mol of atoms

a b c (Å): 4.0426 4.0427 4.9619
angles (deg): 90.00 114.08 120.00
With the nearest neighbours (Å) after each atom.
Fractional positions:
1 Li 0.4584 0.2819 0.8249  7 Co 2.66-2.95, 4 Tl 2.74-2.94
2 Co 0.0090 0.0572 0.1502  3 Co 2.34
3 Co 0.3210 0.7132 0.1176  3 Co 2.34
4 Tl 0.9063 0.5058 0.4969  7 Co 2.72-2.87, 4 Li 2.74-2.94

***

Entry 4:
Here is a geometry-optimized Nd2LuSb structure from Alexandria via LeMat-Bulk. Energies are from PBE.

E above lowest polymorph: 19 meV/atom
symmetry: P4/mmm
formation energy without anion corrections: -11.34 kcal/mol of atoms

a b c (Å): 4.8952 4.8464 4.8464
angles (deg): 90.00 90.00 90.00
With the nearest neighbours (Å) after each atom.
Fractional positions:
1 Sb 0.5000 0.0000 0.0000  4 Lu 3.43, 8 Nd 3.44
2 Lu 0.5000 0.5000 0.5000  4 Sb 3.43, 8 Nd 3.44
3 Nd 0.0000 0.5000 0.0000  4 Nd 3.43, 4 Lu 3.44, 4 Sb 3.44
4 Nd 0.0000 0.0000 0.5000  4 Nd 3.43, 4 Lu 3.44, 4 Sb 3.44

***

Entry 5:
Here is a geometry-optimized SiAgRu structure from Alexandria via LeMat-Bulk. Energies are from PBE.

E above lowest polymorph: 0 meV/atom
symmetry: I4mm
formation energy without anion corrections: -0.76 kcal/mol of atoms

a b c (Å): 5.4065 5.4065 5.4065
angles (deg): 147.53 147.53 46.58
With the nearest neighbours (Å) after each atom.
Fractional positions:
1 Si 0.6933 0.6933 0.0000  4 Ru 2.39
2 Ag 0.0067 0.0067 0.0000  5 Si 2.83-3.11, 5 Ru 2.91-2.96, 4 Ag 3.02
3 Ru 0.3000 0.3000 0.0000  4 Si 2.39

***

Entry 6:
Here is a geometry-optimized LaTiSbTe2 structure from Alexandria via LeMat-Bulk. Energies are from PBE.

E above lowest polymorph: 1060 meV/atom
symmetry: P4/mmm
formation energy without anion corrections: 10.51 kcal/mol of atoms

a b c (Å): 6.0461 6.0461 6.0073
angles (deg): 90.00 90.00 90.00
With the nearest neighbours (Å) after each atom.
Fractional positions:
1 Te 0.0000 0.5000 0.0000  2 La 3.02
2 Ti 0.5000 0.5000 0.5000  8 Te 4.26, 4 Sb 4.28
3 Sb 0.0000 0.0000 0.5000  2 La 3.00
4 Te 0.5000 0.0000 0.0000  2 La 3.02
5 La 0.0000 0.0000 0.0000  2 Sb 3.00, 4 Te 3.02

***

VASP energy for the records above, in order: -76.5 -90.1 -17.5 -20.1 -17.6 -20.9 eV for the cell shown
Magnetic moment for the records above, in order: 0.00 0.00 2.72 0.00 0.00 1.65 μB per cell